Tm7Pb4O (PBE, optimized geometry); ρ = 9.8 g/cm³; energy relative to the elements, uncorrected = -660 meV/atom; D(E_F) = 10.10 states/eV per cell; calculated total energy = -4.92 eV per atom
1.0
4.959 0.000 0.000
2.479 8.535 0.370
2.479 0.851 8.150
Tm Pb O
7 4 1
Direct
0.789 0.853 0.568
0.933 0.246 0.888
0.211 0.147 0.432
0.067 0.754 0.112
0.500 0.000 0.000
0.635 0.451 0.279
0.365 0.549 0.721
0.579 0.207 0.634
0.421 0.793 0.366
0.721 0.655 0.902
0.279 0.345 0.098
0.000 0.000 0.000

Tb3Tm8 (PBE, optimized geometry); ρ = 9.1 g/cm³; ΔH_f (0 K) = 0.59 kcal/mol of atoms; distance to the lowest polymorph of the same formula = 0 meV/atom; D(E_F) = 15.67 states/eV per cell; calculated total energy = -4.49 eV per atom
1.0
-3.075 1.671 0.186
-1.341 0.860 3.122
13.424 28.388 -0.088
Tm Tb
8 3
Direct
0.455 0.455 0.636
0.364 0.364 0.909
0.091 0.091 0.726
0.636 0.636 0.091
0.909 0.909 0.274
0.545 0.545 0.364
0.818 0.818 0.545
0.182 0.182 0.455
0.272 0.272 0.183
0.000 0.000 0.000
0.728 0.728 0.817

Pd2Rh2Pb5 (PBE, optimized geometry); ρ = 11.7 g/cm³; ΔH_f (0 K) = -1.72 kcal/mol of atoms; D(E_F) = 11.09 states/eV per cell; calculated total energy = -4.92 eV per atom
1.0
-5.620 0.857 4.554
1.404 -6.275 2.913
6.952 6.258 1.576
Pd Rh Pb
4 4 10
Direct
0.000 0.884 0.000
0.742 0.927 0.500
0.258 0.427 0.500
0.500 0.384 0.000
0.577 0.128 0.178
0.102 0.628 0.178
0.423 0.949 0.822
0.898 0.449 0.822
0.893 0.273 0.133
0.107 0.140 0.867
0.260 0.640 0.867
0.740 0.773 0.133
0.472 0.522 0.305
0.333 0.022 0.305
0.112 0.797 0.500
0.667 0.717 0.695
0.528 0.217 0.695
0.888 0.297 0.500

Sr2TeIrPd (PBE, optimized geometry); ρ = 5.5 g/cm³; energy relative to the elements, uncorrected = 234 meV/atom; D(E_F) = 3.08 states/eV per cell; calculated total energy = -3.88 eV per atom
1.0
6.118 0.000 0.000
0.000 4.887 0.000
0.000 0.000 6.118
Ir Te Pd Sr
1 1 1 2
Direct
0.500 0.500 0.500
0.000 0.000 0.000
0.000 0.500 0.000
0.500 0.000 0.000
0.000 0.000 0.500

SbMo2Br (PBE, optimized geometry); ρ = 7.4 g/cm³; distance to the lowest polymorph of the same formula = 0 meV/atom; energy relative to the elements, uncorrected = 198 meV/atom; D(E_F) = 2.63 states/eV per cell; calculated total energy = -6.67 eV per atom
1.0
3.193 0.000 0.000
0.000 3.193 0.000
0.000 0.000 8.649
Mo Sb Br
2 1 1
Direct
0.500 0.500 0.207
0.000 0.000 0.043
0.000 0.000 0.427
0.500 0.500 0.824

Tm4MgTe (PBE, optimized geometry); ρ = 8.1 g/cm³; energy relative to the elements, uncorrected = -316 meV/atom; D(E_F) = 12.18 states/eV per cell; calculated total energy = -4.09 eV per atom
1.0
-5.501 -2.960 2.384
10.508 1.619 3.831
-1.812 5.500 2.647
Tm Te Mg
8 2 2
Direct
0.279 0.146 0.750
0.721 0.854 0.250
0.147 0.803 0.006
0.853 0.197 0.506
0.499 0.444 0.250
0.853 0.197 0.994
0.501 0.556 0.750
0.147 0.803 0.494
0.369 0.122 0.250
0.631 0.878 0.750
0.909 0.482 0.750
0.091 0.518 0.250

Rb2HfThO6 (PBE, optimized geometry); ρ = 6.6 g/cm³; energy relative to the elements, uncorrected = -2523 meV/atom; D(E_F) = 5.98 states/eV per cell; calculated total energy = -7.43 eV per atom
1.0
6.231 0.000 0.002
0.000 6.232 0.002
3.117 3.117 4.408
O Rb Th Hf
6 2 1 1
Direct
0.238 0.238 0.000
0.762 0.238 0.000
0.762 0.762 0.000
0.762 0.762 0.476
0.238 0.762 0.000
0.238 0.238 0.524
0.250 0.750 0.500
0.750 0.250 0.500
0.500 0.500 0.000
0.000 0.000 0.000

TaBeCu (PBE, optimized geometry); ρ = 11.0 g/cm³; ΔH_f (0 K) = 0.49 kcal/mol of atoms; distance to the lowest polymorph of the same formula = 114 meV/atom; D(E_F) = 4.25 states/eV per cell; calculated total energy = -6.54 eV per atom
1.0
-3.083 -1.861 1.293
-2.155 -2.727 -3.411
0.998 -4.512 1.538
Be Cu Ta
2 2 2
Direct
0.168 0.119 0.437
0.824 0.964 0.282
0.849 0.563 0.632
0.144 0.768 0.837
0.429 0.165 0.872
0.564 0.529 0.236

NdPuPa2N6 (PBE, optimized geometry); ρ = 9.9 g/cm³; energy relative to the elements, uncorrected = -1347 meV/atom; D(E_F) = 9.60 states/eV per cell; calculated total energy = -10.15 eV per atom
1.0
-4.181 -4.006 -1.645
-0.055 -5.483 2.482
-4.418 -1.503 3.879
N Pa Pu Nd
6 2 1 1
Direct
0.917 0.627 0.230
0.381 0.702 0.754
0.226 0.917 0.230
0.627 0.226 0.230
0.702 0.163 0.754
0.163 0.381 0.754
0.527 0.527 0.418
0.020 0.020 0.940
0.310 0.310 0.070
0.789 0.789 0.634

Na3Cr2TeSe6 (PBE, optimized geometry); ρ = 4.6 g/cm³; energy relative to the elements, uncorrected = -619 meV/atom; D(E_F) = 4.43 states/eV per cell; calculated total energy = -4.56 eV per atom
1.0
6.813 0.000 -0.003
-3.405 5.901 -0.003
-1.143 -1.979 6.937
Se Na Cr Te
6 3 2 1
Direct
0.285 0.285 0.793
0.715 0.715 0.207
0.929 0.576 0.791
0.071 0.424 0.209
0.424 0.071 0.209
0.576 0.929 0.791
0.841 0.159 0.500
0.500 0.500 0.500
0.159 0.841 0.500
0.332 0.668 0.000
0.668 0.332 0.000
0.000 0.000 0.000

Fe2CoSi (PBE, optimized geometry); ρ = 7.6 g/cm³; energy relative to the elements, uncorrected = -172 meV/atom; D(E_F) = 3.70 states/eV per cell; calculated total energy = -7.54 eV per atom
1.0
-2.481 -0.543 1.145
1.267 -1.028 2.258
-0.036 5.102 2.344
Co Fe Si
1 2 1
Direct
0.500 0.500 0.750
0.000 0.000 0.491
0.000 0.000 0.009
0.500 0.500 0.250

Hf2HgGe (PBE, optimized geometry); ρ = 12.1 g/cm³; ΔH_f (0 K) = -0.37 kcal/mol of atoms; distance to the lowest polymorph of the same formula = 92 meV/atom; D(E_F) = 6.30 states/eV per cell; calculated total energy = -6.22 eV per atom
1.0
-2.072 3.223 -6.509
3.141 -5.705 -3.825
-2.085 -2.743 -5.077
Hg Hf Ge
2 4 2
Direct
0.000 0.000 0.000
0.750 0.250 0.500
0.609 0.125 0.250
0.375 0.391 0.750
0.141 0.625 0.250
0.875 0.859 0.750
0.500 0.500 0.000
0.250 0.750 0.500

LiErTmLu (PBE, optimized geometry); ρ = 7.8 g/cm³; ΔH_f (0 K) = 3.89 kcal/mol of atoms; D(E_F) = 2.77 states/eV per cell; calculated total energy = -3.70 eV per atom
1.0
5.376 0.000 0.000
2.688 4.656 0.000
2.688 1.552 4.390
Er Li Tm Lu
1 1 1 1
Direct
0.750 0.750 0.750
0.000 0.000 0.000
0.250 0.250 0.250
0.500 0.500 0.500

SrAl2C (PBE, optimized geometry); ρ = 3.1 g/cm³; ΔH_f (0 K) = 32.10 kcal/mol of atoms; distance to the lowest polymorph of the same formula = 996 meV/atom; D(E_F) = 2.37 states/eV per cell; calculated total energy = -3.21 eV per atom
1.0
2.411 -3.282 2.658
-2.269 -4.010 1.555
1.123 -4.327 -1.914
C Al Sr
1 2 1
Direct
0.000 0.000 0.000
0.250 0.250 0.250
0.750 0.750 0.750
0.500 0.500 0.500

Sr2BePb (PBE, optimized geometry); ρ = 4.8 g/cm³; ΔH_f (0 K) = 3.99 kcal/mol of atoms; distance to the lowest polymorph of the same formula = 261 meV/atom; D(E_F) = 3.21 states/eV per cell; calculated total energy = -2.53 eV per atom
1.0
-0.617 2.591 2.740
0.837 -3.097 2.076
9.123 2.352 -0.171
Sr Be Pb
2 1 1
Direct
0.000 0.000 0.942
0.500 0.500 0.325
0.000 0.000 0.551
0.500 0.500 0.682

Be2NiIr (PBE, optimized geometry); ρ = 9.9 g/cm³; ΔH_f (0 K) = 0.35 kcal/mol of atoms; distance to the lowest polymorph of the same formula = 592 meV/atom; D(E_F) = 3.68 states/eV per cell; calculated total energy = -5.51 eV per atom
1.0
7.831 0.003 0.002
7.397 2.571 0.002
7.397 1.250 2.247
Ir Be Ni
1 2 1
Direct
0.505 0.505 0.505
0.252 0.252 0.252
0.002 0.002 0.002
0.742 0.742 0.742

LaMo (PBE, optimized geometry); ρ = 7.8 g/cm³; ΔH_f (0 K) = 7.81 kcal/mol of atoms; distance to the lowest polymorph of the same formula = 98 meV/atom; D(E_F) = 4.56 states/eV per cell; calculated total energy = -7.54 eV per atom
1.0
3.548 0.000 0.000
0.000 5.350 -0.007
-1.774 -2.657 5.262
Mo La
2 2
Direct
0.207 0.790 0.413
0.543 0.627 0.087
0.759 0.342 0.519
0.991 0.074 0.981

Re2NiBi (PBE, optimized geometry); ρ = 14.6 g/cm³; ΔH_f (0 K) = 17.94 kcal/mol of atoms; D(E_F) = 8.04 states/eV per cell; calculated total energy = -7.86 eV per atom
1.0
3.890 0.000 0.000
0.000 3.890 0.000
1.945 1.945 9.598
Re Ni Bi
4 2 2
Direct
0.875 0.810 0.750
0.375 0.440 0.750
0.190 0.625 0.250
0.560 0.125 0.250
0.500 0.500 0.000
0.250 0.750 0.500
0.000 0.000 0.000
0.750 0.250 0.500

TiCuSb (PBE, optimized geometry); ρ = 7.3 g/cm³; energy relative to the elements, uncorrected = -164 meV/atom; D(E_F) = 7.35 states/eV per cell; calculated total energy = -5.53 eV per atom
1.0
12.939 0.000 0.000
0.000 5.339 0.000
0.000 0.000 3.092
Ti Sb Cu
4 4 4
Direct
0.351 0.000 0.000
0.649 0.000 0.000
0.851 0.500 0.000
0.149 0.500 0.000
0.666 0.500 0.500
0.834 0.000 0.500
0.166 0.000 0.500
0.334 0.500 0.500
0.500 0.226 0.500
0.000 0.726 0.500
0.500 0.774 0.500
0.000 0.274 0.500

YInPt2 (PBE, optimized geometry); ρ = 11.0 g/cm³; ΔH_f (0 K) = -8.11 kcal/mol of atoms; D(E_F) = 5.12 states/eV per cell; calculated total energy = -5.67 eV per atom
1.0
4.416 0.000 0.000
0.000 4.416 0.000
2.208 2.208 9.168
Pt Y In
4 2 2
Direct
0.875 0.902 0.750
0.652 0.125 0.250
0.375 0.348 0.750
0.098 0.625 0.250
0.500 0.500 0.000
0.250 0.750 0.500
0.750 0.250 0.500
0.000 0.000 0.000

Y6InSi2Se3 (PBE, optimized geometry); ρ = 5.1 g/cm³; energy relative to the elements, uncorrected = -1218 meV/atom; D(E_F) = 4.58 states/eV per cell; calculated total energy = -6.45 eV per atom
1.0
-3.073 -0.630 2.675
1.337 -8.317 -0.421
6.796 3.555 5.469
Se Y Si In
3 6 2 1
Direct
0.500 0.500 0.000
0.166 0.827 0.333
0.834 0.173 0.667
0.000 0.265 0.000
0.000 0.735 0.000
0.328 0.432 0.656
0.672 0.568 0.344
0.328 0.910 0.656
0.672 0.090 0.344
0.837 0.676 0.673
0.163 0.324 0.327
0.500 0.000 0.000

Tl2AgMo (PBE, optimized geometry); ρ = 12.4 g/cm³; ΔH_f (0 K) = 15.40 kcal/mol of atoms; distance to the lowest polymorph of the same formula = 111 meV/atom; D(E_F) = 2.84 states/eV per cell; calculated total energy = -3.94 eV per atom
1.0
-0.022 2.783 1.365
-3.772 -0.596 1.155
2.168 -2.758 5.657
Tl Mo Ag
2 1 1
Direct
0.000 0.000 0.992
0.000 0.000 0.508
0.500 0.500 0.750
0.500 0.500 0.250

CrCu2W (PBE, optimized geometry); ρ = 11.5 g/cm³; ΔH_f (0 K) = 6.99 kcal/mol of atoms; distance to the lowest polymorph of the same formula = 57 meV/atom; D(E_F) = 2.89 states/eV per cell; calculated total energy = -7.39 eV per atom
1.0
3.095 0.000 0.000
0.000 3.095 0.000
0.000 0.000 5.491
W Cr Cu
1 1 2
Direct
0.000 0.000 0.514
0.500 0.500 0.745
0.000 0.000 0.012
0.500 0.500 0.229

ScIr3 (PBE, optimized geometry); ρ = 9.5 g/cm³; ΔH_f (0 K) = 53.91 kcal/mol of atoms; D(E_F) = 8.66 states/eV per cell; calculated total energy = -5.89 eV per atom
1.0
4.773 0.000 0.000
0.000 4.773 0.000
0.000 0.000 4.773
Ir Sc
3 1
Direct
0.000 0.000 0.500
0.500 0.000 0.000
0.000 0.500 0.000
0.000 0.000 0.000